(1)
# AcPtC2O8

A relaxed AcPtC2O8 crystal (PBE, Alexandria).

As for the volume: 11.63 Å³ per atom. The value obtained for the mass density is 6.83 g cm⁻³. The calculation puts the density of states at the Fermi level at 0.40 states/eV/atom. For the raw formation energy, the calculation gives -132 kJ/mol of atoms.

The structure belongs to space group C2/m (No. 12); the cell edges are 7.654, 4.921 and 7.452 Å and the angles 90.00°, 96.11° and 90.00°. The asymmetric unit holds Ac at (0.000, 0.000, 0.000), Pt at (0.000, 0.000, 0.500), C at (0.131, 0.500, 0.295), O at (0.019, 0.266, 0.297), O at (0.193, 0.500, 0.129) and O at (0.241, 0.500, 0.453).


(2)
# AcPuC2O8

A relaxed AcPuC2O8 crystal (PBE, Alexandria).

As for the volume: 11.79 Å³ per atom. The value obtained for the mass density is 7.31 g cm⁻³. The calculation puts the density of states at the Fermi level at 1.09 states/eV/atom. For the raw formation energy, the calculation gives -199 kJ/mol of atoms.

The structure belongs to space group R32 (No. 155, hexagonal axes); the cell edges are 4.7085, 4.7085 and 22.1018 Å and the angles 90.00°, 90.00° and 120.00°. The asymmetric unit holds Ac at (0.0000, 0.0000, 0.0000), Pu at (0.0000, 0.0000, 0.5000), C at (0.0000, 0.0000, 0.2517), O at (0.0000, 0.0000, 0.3132) and O at (0.0059, 0.2844, 0.2302).


(3)
# Rb2AcC2O6

A relaxed Rb2AcC2O6 crystal (PBE, Alexandria).

As for the volume: 20.78 Å³ per atom. The value obtained for the mass density is 3.76 g cm⁻³. The calculation puts the density of states at the Fermi level at 0.16 states/eV/atom. For the raw formation energy, the calculation gives -180 kJ/mol of atoms.

The structure belongs to space group P-3m1 (No. 164); the cell edges are 5.9998, 5.9998 and 7.3311 Å and the angles 90.00°, 90.00° and 120.00°. The asymmetric unit holds Rb at (0.3333, 0.6667, 0.3210), Ac at (0.0000, 0.0000, 0.0000), C at (0.3333, 0.6667, 0.8360) and O at (0.2080, 0.4160, 0.8300).


(4)
# RbAc2C2O7

A relaxed RbAc2C2O7 crystal (PBE, Alexandria).

As for the volume: 22.47 Å³ per atom. The value obtained for the mass density is 4.16 g cm⁻³. The calculation puts the density of states at the Fermi level at 0.10 states/eV/atom. For the raw formation energy, the calculation gives -211 kJ/mol of atoms.

The structure belongs to space group R-3m (No. 166, hexagonal axes); the cell edges are 5.3251, 5.3251 and 32.9423 Å and the angles 90.00°, 90.00° and 120.00°. The asymmetric unit holds Rb at (0.0000, 0.0000, 0.0000), Ac at (0.0000, 0.0000, 0.4329), C at (0.0000, 0.0000, 0.2485), O at (0.0000, 0.0000, 0.5000) and O at (0.0513, 0.5256, 0.4184).


(5)
# Rb3AcC4O12

A relaxed Rb3AcC4O12 crystal (PBE, Alexandria).

As for the volume: 18.32 Å³ per atom. The value obtained for the mass density is 3.28 g cm⁻³. The calculation puts the density of states at the Fermi level at 0.53 states/eV/atom. For the raw formation energy, the calculation gives -168 kJ/mol of atoms.

The structure belongs to space group R32 (No. 155, hexagonal axes); the cell edges are 10.8728, 10.8728 and 10.7362 Å and the angles 90.00°, 90.00° and 120.00°. The asymmetric unit holds Rb at (0.0000, 0.4776, 0.0000), Ac at (0.0000, 0.0000, 0.0000), C at (0.0000, 0.0000, 0.5000), C at (0.0000, 0.5098, 0.5000), O at (0.0000, 0.6266, 0.5000), O at (0.0000, 0.8824, 0.5000) and O at (0.0586, 0.2186, 0.8647).


(6)
# AcRhC2O8

A relaxed AcRhC2O8 crystal (PBE, Alexandria).

As for the volume: 11.54 Å³ per atom. The value obtained for the mass density is 5.78 g cm⁻³. The calculation puts the density of states at the Fermi level at 0.40 states/eV/atom. For the raw formation energy, the calculation gives -138 kJ/mol of atoms.

The structure belongs to space group C2/m (No. 12); the cell edges are 7.669, 4.919 and 7.382 Å and the angles 90.00°, 96.10° and 90.00°. The asymmetric unit holds Ac at (0.000, 0.000, 0.000), Rh at (0.000, 0.000, 0.500), C at (0.131, 0.500, 0.294), O at (0.020, 0.268, 0.299), O at (0.193, 0.500, 0.126) and O at (0.246, 0.500, 0.451).